Entry 1:
Density functional theory data (PBE) for a relaxed YNi4Ir crystal.

Lattice parameters (Å, degrees): 6.877 3.985 6.617 90.00 90.00 90.00
Space group Pmma (No. 51)
One atom of each set of equivalent atoms:
Y 0.250 0.000 0.158 (multiplicity 2)
Ni 0.000 0.000 0.500 (multiplicity 2)
Ni 0.061 0.500 0.823 (multiplicity 4)
Ni 0.250 0.500 0.498 (multiplicity 2)
Ir 0.250 0.000 0.746 (multiplicity 2)

Properties
The formation energy is -0.058 eV per atom.

---

Entry 2:
Density functional theory data (PBE) for a relaxed TlTe2 crystal.

Lattice parameters (Å, degrees): 8.454 3.919 12.510 90.00 90.00 90.00
Space group Pnma (No. 62)
One atom of each set of equivalent atoms:
Tl 0.194 0.250 0.151 (multiplicity 4)
Te 0.122 0.250 0.452 (multiplicity 4)
Te 0.138 0.250 0.851 (multiplicity 4)

---

Entry 3:
Density functional theory data (PBE) for a relaxed CaAcSmTl crystal.

Lattice parameters (Å, degrees): 8.183 8.183 8.183 90.00 90.00 90.00
Space group F-43m (No. 216)
One atom of each set of equivalent atoms:
Ca 0.000 0.000 0.000 (multiplicity 4)
Ac 0.250 0.250 0.250 (multiplicity 4)
Sm 0.000 0.000 0.500 (multiplicity 4)
Tl 0.250 0.250 0.750 (multiplicity 4)

Properties
The formation energy is 0.049 eV per atom.

---

Entry 4:
Density functional theory data (PBE) for a relaxed BaNa2IrO crystal.

Lattice parameters (Å, degrees): 6.043 6.043 3.780 90.00 90.00 90.00
Space group P4/mmm (No. 123)
One atom of each set of equivalent atoms:
Ba 0.000 0.000 0.000 (multiplicity 1)
Na 0.000 0.500 0.500 (multiplicity 2)
Ir 0.500 0.500 0.500 (multiplicity 1)
O 0.500 0.500 0.000 (multiplicity 1)

---

Entry 5:
Density functional theory data (PBE) for a relaxed Ac2Pm2Nd crystal.

Lattice parameters (Å, degrees): 18.078 6.849 6.599 90.00 107.89 90.00
Space group C2/c (No. 15)
One atom of each set of equivalent atoms:
Ac 0.192 0.145 0.195 (multiplicity 8)
Pm 0.089 0.381 0.659 (multiplicity 8)
Nd 0.000 0.080 0.250 (multiplicity 4)

Properties
The formation energy is 0.078 eV per atom.

---

Entry 6:
Density functional theory data (PBE) for a relaxed Ca2CrCu crystal.

Lattice parameters (Å, degrees): 3.486 3.486 8.234 90.00 90.00 90.00
Space group P4mm (No. 99)
One atom of each set of equivalent atoms:
Ca 0.000 0.000 0.000 (multiplicity 1)
Ca 0.500 0.500 0.380 (multiplicity 1)
Cr 0.000 0.000 0.639 (multiplicity 1)
Cu 0.500 0.500 0.755 (multiplicity 1)

Properties
The formation energy is 0.310 eV per atom.

---

Entry 7:
Density functional theory data (PBE) for a relaxed Pm10DySc4 crystal.

Lattice parameters (Å, degrees): 11.173 11.173 8.229 90.00 90.00 90.00
Space group I4/m (No. 87)
One atom of each set of equivalent atoms:
Pm 0.000 0.500 0.250 (multiplicity 4)
Pm 0.115 0.229 0.194 (multiplicity 16)
Dy 0.000 0.000 0.000 (multiplicity 2)
Sc 0.065 0.788 0.500 (multiplicity 8)

Properties
The formation energy is 0.535 eV per atom.

---

Entry 8:
Density functional theory data (PBE) for a relaxed Fe4Ge crystal.

Lattice parameters (Å, degrees): 6.275 6.275 3.021 90.00 90.00 90.00
Space group I4/m (No. 87)
One atom of each set of equivalent atoms:
Fe 0.102 0.305 0.000 (multiplicity 8)
Ge 0.000 0.000 0.500 (multiplicity 2)

Properties
The formation energy is -0.058 eV per atom.

---

For reference, calculated density by record: 9.4 7.4 7.5 4.7 7.6 3.2 5.8 8.3 g/cm³.
For reference, uncorrected energy by record: -6.47 -2.97 -3.25 -3.67 -4.42 -4.12 -4.63 -7.75 eV per atom.